The following is a DFT calculation (PBE-GGA) of a relaxed structure of Pm2TiP4Ir3.

abc: 4.203 4.203 9.730
angles: 90.00 90.00 90.00
Element x y z (fractional)
Pm: 0.000 0.500 0.233
Pm: 0.500 0.000 0.767
Ti: 0.000 0.000 0.500
P: 0.000 0.000 0.000
P: 0.000 0.500 0.640
P: 0.500 0.000 0.360
P: 0.500 0.500 0.000
Ir: 0.000 0.500 0.890
Ir: 0.500 0.000 0.110
Ir: 0.500 0.500 0.500

Properties
Formation energy = -1056 meV per atom
Crystal system = tetragonal
N(E_F) = 3.40 states/eV/cell
Total magnetic moment = 0.00 μB per formula unit
Final energy = -76.182 eV/f.u.